## NaSnMoF6 (GGA+U)

Data for a geometry-optimized NaSnMoF6 structure.

a b c (Å): 5.8043 5.8043 10.0474
angles (deg): 90.00 90.00 120.00
Space group P-31c (No. 163)
One atom of each set of equivalent atoms:
Na 0.3333 0.6667 0.2500 x2
Sn 0.0000 0.0000 0.0000 x2
Mo 0.3333 0.6667 0.7500 x2
F 0.0282 0.3618 0.6357 x12

Properties
Density of states at the Fermi level ... 0.0 states/eV/f.u.
Raw total energy ... -5.161 eV per atom